Entry 1:
Here is K2HgAsI6 after structural relaxation from Alexandria. Energies are from GGA-PBEsol.

Values from the calculation:
raw formation energy	-0.648	eV/atom
Fermi-level density of states	2.18	states/eV/f.u.
crystal system	cubic
magnetization	0.00	μB per cell

Cell: 11.669 11.669 11.669 Å, 90.00 90.00 90.00°
Space group Fm-3m (No. 225)
Unique sites:
K 0.250 0.250 0.250 x8
Hg 0.000 0.000 0.000 x4
As 0.000 0.000 0.500 x4
I 0.000 0.000 0.257 x24

Entry 2:
Here is SnHg7As4I6 after structural relaxation from Alexandria. Energies are from GGA-PBEsol.

Values from the calculation:
raw formation energy	-0.188	eV/atom
crystal system	cubic
magnetization	0.00	μB per cell

Cell: 13.130 13.130 13.130 Å, 90.00 90.00 90.00°
Space group P2_13 (No. 198)
Unique sites:
Sn 0.237 0.263 0.737 x4
Hg 0.001 0.753 0.938 x12
Hg 0.043 0.043 0.043 x4
Hg 0.081 0.323 0.095 x12
As 0.033 0.967 0.467 x4
As 0.067 0.433 0.567 x4
As 0.073 0.573 0.927 x4
As 0.153 0.153 0.153 x4
I 0.009 0.769 0.683 x12
I 0.049 0.799 0.189 x12